1.
Compound: Zr2Np3PaP6
Source: Alexandria
Functional: PBE-GGA
Structure: optimized geometry

Output
space group = C2/m (12)
energy relative to the elements = -1.14 eV per atom

a b c (Å): 6.734 6.734 6.720
angles (deg): 99.62 99.62 120.06
Fractional positions:
Zr (0.168, 0.832, 0.000)
Zr (0.832, 0.168, 0.000)
Np (0.000, 0.000, 0.500)
Np (0.336, 0.664, 0.500)
Np (0.664, 0.336, 0.500)
Pa (0.500, 0.500, 0.000)
P (0.077, 0.418, 0.755)
P (0.239, 0.239, 0.240)
P (0.418, 0.077, 0.755)
P (0.582, 0.923, 0.245)
P (0.761, 0.761, 0.760)
P (0.923, 0.582, 0.245)



2.
Compound: Tb3Dy
Source: Alexandria
Functional: PBE-GGA
Structure: optimized geometry

Output
energy above the most stable polymorph in this dataset = 0.0 kJ/mol of atoms
space group = Pmm2 (25)
energy relative to the elements = 0.01 eV per atom

a b c (Å): 3.627 5.646 6.279
angles (deg): 90.00 90.00 90.00
Fractional positions:
Tb (0.000, 0.000, 0.000)
Tb (0.000, 0.500, 0.334)
Tb (0.500, 0.500, 0.834)
Dy (0.500, 0.000, 0.500)



3.
Compound: Rb2ScF
Source: Alexandria
Functional: PBE-GGA
Structure: optimized geometry

Output
energy above the most stable polymorph in this dataset = 0.0 kJ/mol of atoms
space group = I-42d (122)

a b c (Å): 7.859 7.859 7.859
angles (deg): 116.12 116.12 96.86
Fractional positions:
Rb (0.375, 0.016, 0.141)
Rb (0.766, 0.625, 0.641)
Rb (0.875, 0.234, 0.859)
Rb (0.984, 0.125, 0.359)
Sc (0.250, 0.750, 0.500)
Sc (0.500, 0.500, 0.000)
F (0.000, 0.000, 0.000)
F (0.750, 0.250, 0.500)



4.
Compound: V2BrCl8
Source: Alexandria
Functional: PBE-GGA
Structure: optimized geometry

Output
space group = C2/m (12)
energy = -4.126 eV per atom

a b c (Å): 8.276 8.276 8.247
angles (deg): 113.32 113.32 53.36
Fractional positions:
V (0.200, 0.200, 0.177)
V (0.800, 0.800, 0.823)
Br (0.000, 0.000, 0.500)
Cl (0.098, 0.635, 0.767)
Cl (0.171, 0.171, 0.901)
Cl (0.358, 0.358, 0.342)
Cl (0.365, 0.902, 0.233)
Cl (0.635, 0.098, 0.767)
Cl (0.642, 0.642, 0.658)
Cl (0.829, 0.829, 0.099)
Cl (0.902, 0.365, 0.233)



Calculated V (Å³ per cell), listed in the same order as above: 249 129 361 406